Density functional theory data (PBE) for an optimized crystal structure of Tl3Zn.

Lattice parameters (Å, degrees): 5.425 5.425 5.425 60.00 60.00 60.00
Fractional positions:
1 Zn 0.750 0.750 0.750
2 Tl 0.250 0.250 0.250
3 Tl 0.500 0.500 0.500
4 Tl 0.000 0.000 0.000

---

Density functional theory data (PBE) for an optimized crystal structure of BePtI3.

Lattice parameters (Å, degrees): 5.165 5.165 5.165 90.00 90.00 90.00
Last column: magnetic moment on the atom in μB.
Fractional positions:
1 Be 0.000 0.000 0.000  -0.01
2 Pt 0.500 0.500 0.500  0.64
3 I 0.500 0.000 0.000  0.11
4 I 0.000 0.500 0.000  0.19
5 I 0.000 0.000 0.500  0.12

Computed properties:
formation energy from raw total energies	779.3	meV per atom

---

no.,calculated total energy (eV per atom)
1,-1.931
2,-2.104